[1]
Density functional theory data (GGA-PBE) for crystalline LuMgTl2 at its relaxed geometry.

Total magnetization   0.0 μB per cell
Electronic total energy   -2.852 eV per atom

a b c (Å): 3.688 3.688 7.375
angles (deg): 90.00 90.00 90.00
Element x y z (fractional)
Lu 0.000 0.000 0.000
Mg 0.000 0.000 0.500
Tl 0.500 0.500 0.263
Tl 0.500 0.500 0.737


[2]
Density functional theory data (GGA-PBE) for crystalline TiGaMoSe2 at its relaxed geometry.

Energy relative to the elements, uncorrected   1.03 eV per atom
Total magnetization   0.6 μB per cell

a b c (Å): 4.833 4.833 4.710
angles (deg): 90.00 90.00 90.00
Element x y z (fractional)
Ti 0.000 0.000 0.000
Ga 0.500 0.500 0.500
Mo 0.500 0.500 0.000
Se 0.000 0.500 0.500
Se 0.500 0.000 0.500


[3]
Density functional theory data (GGA-PBE) for crystalline Zn4Ga5Ag at its relaxed geometry.

Energy relative to the lowest polymorph listed for this composition   0 meV per atom
Total magnetization   0.0 μB per cell

a b c (Å): 7.145 7.145 8.431
angles (deg): 93.34 93.34 24.17
Element x y z (fractional)
Zn 0.079 0.079 0.269
Zn 0.307 0.307 0.913
Zn 0.693 0.693 0.087
Zn 0.921 0.921 0.731
Ga 0.114 0.114 0.798
Ga 0.263 0.263 0.368
Ga 0.500 0.500 0.500
Ga 0.737 0.737 0.632
Ga 0.886 0.886 0.202
Ag 0.500 0.500 0.000


no.,D(E_F) (states/eV/atom)
1,0.727
2,0.944
3,0.346